[1]
VASP calculation (GGA-PBEsol) on a relaxed Li2LaZn crystal.

a = 3.363 Å, b = 3.363 Å, c = 7.621 Å
α = 90.00°, β = 90.00°, γ = 90.00°
Element x y z (fractional)
Li: 0.000 0.000 0.000
Li: 0.500 0.500 0.211
La: 0.500 0.500 0.655
Zn: 0.000 0.000 0.384

- density of states at the Fermi level (states/eV/atom) = 0.689
- calculated total energy (eV/atom) = -2.77
- space group = No. 99



[2]
VASP calculation (GGA-PBEsol) on a relaxed LiLa2Zn2 crystal.

a = 7.232 Å, b = 7.232 Å, c = 4.662 Å
α = 90.00°, β = 90.00°, γ = 90.00°
Element x y z (fractional)
Li: 0.000 0.000 0.000
Li: 0.500 0.500 0.000
La: 0.157 0.343 0.500
La: 0.343 0.843 0.500
La: 0.657 0.157 0.500
La: 0.843 0.657 0.500
Zn: 0.136 0.636 0.000
Zn: 0.364 0.136 0.000
Zn: 0.636 0.864 0.000
Zn: 0.864 0.364 0.000

- density of states at the Fermi level (states/eV/atom) = 0.984
- calculated total energy (eV/atom) = -3.32
- space group = No. 127



[3]
VASP calculation (GGA-PBEsol) on a relaxed Li2LaZn crystal.

a = 4.756 Å, b = 4.756 Å, c = 5.259 Å
α = 116.90°, β = 116.90°, γ = 60.21°
Element x y z (fractional)
Li: 0.000 0.000 0.000
Li: 0.729 0.729 0.187
La: 0.223 0.223 0.669
Zn: 0.448 0.448 0.342

- density of states at the Fermi level (states/eV/atom) = 0.986
- calculated total energy (eV/atom) = -2.74
- space group = No. 8



[4]
VASP calculation (GGA-PBEsol) on a relaxed Li2LaZn crystal.

a = 10.785 Å, b = 10.785 Å, c = 10.785 Å
α = 157.21°, β = 157.21°, γ = 32.44°
Element x y z (fractional)
Li: 0.045 0.125 0.420
Li: 0.375 0.955 0.080
Li: 0.705 0.625 0.580
Li: 0.875 0.295 0.920
La: 0.250 0.750 0.500
La: 0.500 0.500 0.000
Zn: 0.000 0.000 0.000
Zn: 0.750 0.250 0.500

- density of states at the Fermi level (states/eV/atom) = 1.102
- calculated total energy (eV/atom) = -2.58
- space group = No. 122



[5]
VASP calculation (GGA-PBEsol) on a relaxed Li2LaZn2 crystal.

a = 7.091 Å, b = 7.091 Å, c = 7.091 Å
α = 147.59°, β = 147.59°, γ = 46.49°
Element x y z (fractional)
Li: 0.250 0.750 0.500
Li: 0.750 0.250 0.500
La: 0.000 0.000 0.000
Zn: 0.393 0.393 0.000
Zn: 0.607 0.607 0.000

- offset from the most stable computed form (eV per atom) = 0.000
- density of states at the Fermi level (states/eV/atom) = 0.708
- space group = No. 139



[6]
VASP calculation (GGA-PBEsol) on a relaxed LiLaZn crystal.

a = 4.830 Å, b = 4.830 Å, c = 3.294 Å
α = 90.00°, β = 90.00°, γ = 120.00°
Element x y z (fractional)
Li: 0.000 0.000 0.000
La: 0.667 0.333 0.500
Zn: 0.333 0.667 0.000

- offset from the most stable computed form (eV per atom) = 0.000
- density of states at the Fermi level (states/eV/atom) = 0.611
- space group = No. 187



[7]
VASP calculation (GGA-PBEsol) on a relaxed LiLaZn crystal.

a = 5.614 Å, b = 5.614 Å, c = 5.614 Å
α = 141.64°, β = 141.64°, γ = 55.37°
Element x y z (fractional)
Li: 0.000 0.000 0.000
La: 0.298 0.298 0.000
Zn: 0.621 0.621 0.000

- offset from the most stable computed form (eV per atom) = 0.072
- density of states at the Fermi level (states/eV/atom) = 0.560
- space group = No. 107



[8]
VASP calculation (GGA-PBEsol) on a relaxed Li4LaZn crystal.

a = 5.464 Å, b = 5.464 Å, c = 5.464 Å
α = 60.00°, β = 60.00°, γ = 60.00°
Element x y z (fractional)
Li: 0.378 0.378 0.378
Li: 0.378 0.378 0.866
Li: 0.378 0.866 0.378
Li: 0.866 0.378 0.378
La: 0.000 0.000 0.000
Zn: 0.750 0.750 0.750

- density of states at the Fermi level (states/eV/atom) = 0.697
- calculated total energy (eV/atom) = -2.45
- space group = No. 216



[9]
VASP calculation (GGA-PBEsol) on a relaxed Li2LaZn2 crystal.

a = 7.947 Å, b = 7.947 Å, c = 2.944 Å
α = 90.00°, β = 90.00°, γ = 90.00°
Element x y z (fractional)
Li: 0.116 0.384 0.000
Li: 0.384 0.884 0.000
Li: 0.616 0.116 0.000
Li: 0.884 0.616 0.000
La: 0.000 0.000 0.000
La: 0.500 0.500 0.000
Zn: 0.178 0.678 0.500
Zn: 0.322 0.178 0.500
Zn: 0.678 0.822 0.500
Zn: 0.822 0.322 0.500

- offset from the most stable computed form (eV per atom) = 0.038
- density of states at the Fermi level (states/eV/atom) = 0.649
- space group = No. 127



[10]
VASP calculation (GGA-PBEsol) on a relaxed LiLa2Zr crystal.

a = 11.379 Å, b = 11.379 Å, c = 11.379 Å
α = 17.18°, β = 17.18°, γ = 17.18°
Element x y z (fractional)
Li: 0.000 0.000 0.000
La: 0.246 0.246 0.246
La: 0.754 0.754 0.754
Zr: 0.500 0.500 0.500

- offset from the most stable computed form (eV per atom) = 0.000
- density of states at the Fermi level (states/eV/atom) = 1.045
- space group = No. 166



[11]
VASP calculation (GGA-PBEsol) on a relaxed LiLa2Zr crystal.

a = 3.297 Å, b = 5.283 Å, c = 6.435 Å
α = 90.00°, β = 104.71°, γ = 90.00°
Element x y z (fractional)
Li: 0.000 0.000 0.000
La: 0.404 0.500 0.806
La: 0.720 0.000 0.444
Zr: 0.130 0.500 0.264

- offset from the most stable computed form (eV per atom) = 0.058
- density of states at the Fermi level (states/eV/atom) = 0.881
- space group = No. 6



[12]
VASP calculation (GGA-PBEsol) on a relaxed LiLaZr2 crystal.

a = 5.396 Å, b = 5.396 Å, c = 5.899 Å
α = 97.16°, β = 97.16°, γ = 33.97°
Element x y z (fractional)
Li: 0.000 0.000 0.000
La: 0.248 0.248 0.763
Zr: 0.485 0.485 0.442
Zr: 0.742 0.742 0.272

- density of states at the Fermi level (states/eV/atom) = 1.118
- calculated total energy (eV/atom) = -6.12
- space group = No. 8



[13]
VASP calculation (GGA-PBEsol) on a relaxed LaLuMg2 crystal.

a = 5.368 Å, b = 5.368 Å, c = 5.368 Å
α = 60.00°, β = 60.00°, γ = 60.00°
Element x y z (fractional)
La: 0.000 0.000 0.000
Lu: 0.500 0.500 0.500
Mg: 0.250 0.250 0.250
Mg: 0.750 0.750 0.750

- density of states at the Fermi level (states/eV/atom) = 1.027
- calculated total energy (eV/atom) = -3.48
- space group = No. 225



[14]
VASP calculation (GGA-PBEsol) on a relaxed LaLuO3 crystal.

a = 5.939 Å, b = 8.277 Å, c = 5.759 Å
α = 90.00°, β = 90.00°, γ = 90.00°
Element x y z (fractional)
La: 0.049 0.250 0.015
La: 0.451 0.750 0.515
La: 0.549 0.250 0.485
La: 0.951 0.750 0.985
Lu: 0.000 0.000 0.500
Lu: 0.000 0.500 0.500
Lu: 0.500 0.000 0.000
Lu: 0.500 0.500 0.000
O: 0.050 0.750 0.381
O: 0.198 0.564 0.804
O: 0.198 0.936 0.804
O: 0.302 0.064 0.304
O: 0.302 0.436 0.304
O: 0.450 0.250 0.881
O: 0.550 0.750 0.119
O: 0.698 0.564 0.696
O: 0.698 0.936 0.696
O: 0.802 0.064 0.196
O: 0.802 0.436 0.196
O: 0.950 0.250 0.619

- density of states at the Fermi level (states/eV/atom) = 0.000
- formation energy (no corrections) (eV/atom) = -3.618
- space group = No. 62



[15]
VASP calculation (GGA-PBEsol) on a relaxed LaLu3S6 crystal.

a = 10.798 Å, b = 3.894 Å, c = 11.076 Å
α = 90.00°, β = 109.06°, γ = 90.00°
Element x y z (fractional)
La: 0.053 0.250 0.197
La: 0.947 0.750 0.803
Lu: 0.160 0.250 0.588
Lu: 0.322 0.750 0.000
Lu: 0.448 0.250 0.334
Lu: 0.552 0.750 0.666
Lu: 0.678 0.250 0.000
Lu: 0.840 0.750 0.412
S: 0.084 0.750 0.410
S: 0.124 0.250 0.964
S: 0.200 0.750 0.749
S: 0.273 0.750 0.231
S: 0.390 0.250 0.554
S: 0.481 0.250 0.112
S: 0.519 0.750 0.888
S: 0.610 0.750 0.446
S: 0.727 0.250 0.769
S: 0.800 0.250 0.251
S: 0.876 0.750 0.036
S: 0.916 0.250 0.590

- formation energy (no corrections) (eV/atom) = -2.159
- space group = No. 11



[16]
VASP calculation (GGA-PBEsol) on a relaxed LaMg3 crystal.

a = 6.852 Å, b = 6.852 Å, c = 5.234 Å
α = 90.00°, β = 90.00°, γ = 120.00°
Element x y z (fractional)
La: 0.333 0.667 0.250
La: 0.667 0.333 0.750
Mg: 0.161 0.323 0.750
Mg: 0.161 0.839 0.750
Mg: 0.323 0.161 0.250
Mg: 0.677 0.839 0.750
Mg: 0.839 0.161 0.250
Mg: 0.839 0.677 0.250

- density of states at the Fermi level (states/eV/atom) = 1.025
- calculated total energy (eV/atom) = -2.71
- space group = No. 194



[17]
VASP calculation (GGA-PBEsol) on a relaxed LaMg crystal.

a = 5.590 Å, b = 8.499 Å, c = 8.499 Å
α = 25.79°, β = 90.00°, γ = 90.00°
Element x y z (fractional)
La: 0.000 0.000 0.000
La: 0.000 0.335 0.335
La: 0.500 0.168 0.168
Mg: 0.000 0.668 0.668
Mg: 0.500 0.491 0.491
Mg: 0.500 0.845 0.845

- offset from the most stable computed form (eV per atom) = 0.030
- density of states at the Fermi level (states/eV/atom) = 0.886
- space group = No. 38



[18]
VASP calculation (GGA-PBEsol) on a relaxed LaMg3 crystal.

a = 3.252 Å, b = 3.252 Å, c = 11.174 Å
α = 90.00°, β = 90.00°, γ = 120.00°
Element x y z (fractional)
La: 0.000 0.000 0.000
Mg: 0.000 0.000 0.500
Mg: 0.333 0.667 0.267
Mg: 0.333 0.667 0.733

- density of states at the Fermi level (states/eV/atom) = 0.631
- calculated total energy (eV/atom) = -2.63
- space group = No. 187



[19]
VASP calculation (GGA-PBEsol) on a relaxed LaMg3 crystal.

a = 4.774 Å, b = 4.774 Å, c = 4.774 Å
α = 90.00°, β = 90.00°, γ = 90.00°
Element x y z (fractional)
La: 0.000 0.000 0.000
Mg: 0.000 0.500 0.500
Mg: 0.500 0.000 0.500
Mg: 0.500 0.500 0.000

- density of states at the Fermi level (states/eV/atom) = 1.234
- calculated total energy (eV/atom) = -2.65
- space group = No. 221



[20]
VASP calculation (GGA-PBEsol) on a relaxed LaMg7 crystal.

a = 6.608 Å, b = 6.608 Å, c = 6.608 Å
α = 60.00°, β = 60.00°, γ = 60.00°
Element x y z (fractional)
La: 0.000 0.000 0.000
Mg: 0.000 0.000 0.500
Mg: 0.000 0.500 0.000
Mg: 0.000 0.500 0.500
Mg: 0.500 0.000 0.000
Mg: 0.500 0.000 0.500
Mg: 0.500 0.500 0.000
Mg: 0.500 0.500 0.500

- density of states at the Fermi level (states/eV/atom) = 0.684
- calculated total energy (eV/atom) = -2.10
- space group = No. 225



[21]
VASP calculation (GGA-PBEsol) on a relaxed La2Mg crystal.

a = 6.739 Å, b = 6.739 Å, c = 6.739 Å
α = 53.74°, β = 53.74°, γ = 53.74°
Element x y z (fractional)
La: 0.000 0.000 0.000
La: 0.185 0.815 0.500
La: 0.500 0.185 0.815
La: 0.815 0.500 0.185
Mg: 0.330 0.330 0.330
Mg: 0.670 0.670 0.670

- offset from the most stable computed form (eV per atom) = 0.033
- density of states at the Fermi level (states/eV/atom) = 1.046
- space group = No. 155



[22]
VASP calculation (GGA-PBEsol) on a relaxed LaMg5 crystal.

a = 3.541 Å, b = 3.541 Å, c = 11.850 Å
α = 90.00°, β = 90.00°, γ = 90.00°
Element x y z (fractional)
La: 0.000 0.000 0.000
Mg: 0.000 0.000 0.348
Mg: 0.000 0.000 0.652
Mg: 0.500 0.500 0.198
Mg: 0.500 0.500 0.500
Mg: 0.500 0.500 0.802

- density of states at the Fermi level (states/eV/atom) = 0.546
- calculated total energy (eV/atom) = -2.36
- space group = No. 123



[23]
VASP calculation (GGA-PBEsol) on a relaxed LaMg crystal.

a = 5.938 Å, b = 5.938 Å, c = 6.467 Å
α = 116.43°, β = 116.43°, γ = 61.73°
Element x y z (fractional)
La: 0.000 0.000 0.000
La: 0.552 0.168 0.527
La: 0.832 0.448 0.473
Mg: 0.195 0.805 0.500
Mg: 0.314 0.340 0.996
Mg: 0.660 0.686 0.004

- offset from the most stable computed form (eV per atom) = 0.071
- density of states at the Fermi level (states/eV/atom) = 0.783
- space group = No. 5



[24]
VASP calculation (GGA-PBEsol) on a relaxed La2Mg crystal.

a = 6.915 Å, b = 5.522 Å, c = 10.035 Å
α = 90.00°, β = 90.00°, γ = 90.00°
Element x y z (fractional)
La: 0.016 0.250 0.213
La: 0.184 0.250 0.576
La: 0.316 0.750 0.076
La: 0.484 0.750 0.713
La: 0.516 0.250 0.287
La: 0.684 0.250 0.924
La: 0.816 0.750 0.424
La: 0.984 0.750 0.787
Mg: 0.201 0.250 0.904
Mg: 0.299 0.750 0.404
Mg: 0.701 0.250 0.596
Mg: 0.799 0.750 0.096

- offset from the most stable computed form (eV per atom) = 0.036
- density of states at the Fermi level (states/eV/atom) = 1.169
- space group = No. 62



[25]
VASP calculation (GGA-PBEsol) on a relaxed La2Mg crystal.

a = 5.577 Å, b = 5.577 Å, c = 7.100 Å
α = 90.00°, β = 90.00°, γ = 120.00°
Element x y z (fractional)
La: 0.000 0.000 0.000
La: 0.000 0.000 0.500
La: 0.333 0.667 0.250
La: 0.667 0.333 0.750
Mg: 0.333 0.667 0.750
Mg: 0.667 0.333 0.250

- offset from the most stable computed form (eV per atom) = 0.064
- density of states at the Fermi level (states/eV/atom) = 1.488
- space group = No. 194



[26]
VASP calculation (GGA-PBEsol) on a relaxed La2Mg crystal.

a = 15.540 Å, b = 15.540 Å, c = 15.540 Å
α = 161.67°, β = 161.67°, γ = 26.03°
Element x y z (fractional)
La: 0.039 0.789 0.250
La: 0.123 0.373 0.750
La: 0.211 0.961 0.250
La: 0.373 0.123 0.250
La: 0.627 0.877 0.750
La: 0.789 0.039 0.750
La: 0.877 0.627 0.250
La: 0.961 0.211 0.750
Mg: 0.290 0.540 0.750
Mg: 0.460 0.710 0.750
Mg: 0.540 0.290 0.250
Mg: 0.710 0.460 0.250

- offset from the most stable computed form (eV per atom) = 0.029
- density of states at the Fermi level (states/eV/atom) = 1.334
- space group = No. 141